one.
VASP calculation (PBE) on a relaxed Li3Pb crystal.

## Properties
As for the total magnetic moment: 0.00 μB per cell.

Cell lengths 5.3557, 5.3557, 5.3557 Å; angles 90.00, 90.00, 90.00 degrees
Closest atoms and distances in Å follow each position.
Sites, in units of the cell vectors:
Li  0.7500  0.5000  0.0000  2 Li 2.68, 4 Pb 2.99
Li  0.2500  0.5000  0.0000  2 Li 2.68, 4 Pb 2.99
Li  0.0000  0.7500  0.5000  2 Li 2.68, 4 Pb 2.99
Li  0.0000  0.2500  0.5000  2 Li 2.68, 4 Pb 2.99
Li  0.5000  0.0000  0.2500  2 Li 2.68, 4 Pb 2.99
Li  0.5000  0.0000  0.7500  2 Li 2.68, 4 Pb 2.99
Pb  0.0000  0.0000  0.0000  12 Li 2.99
Pb  0.5000  0.5000  0.5000  12 Li 2.99


two.
VASP calculation (PBE) on a relaxed Li3Pb crystal.

## Properties
As for the total magnetic moment: 0.00 μB per cell.

Cell lengths 10.0351, 10.0351, 10.0351 Å; angles 18.92, 18.92, 18.92 degrees
Closest atoms and distances in Å follow each position.
Sites, in units of the cell vectors:
Li  0.2517  0.2517  0.2517  3 Pb 3.07, 9 Li 3.15-3.30
Li  0.5000  0.5000  0.5000  12 Li 3.15-3.30
Li  0.7483  0.7483  0.7483  3 Pb 3.07, 9 Li 3.15-3.30
Pb  0.0000  0.0000  0.0000  6 Li 3.07, 6 Pb 3.30


three.
VASP calculation (PBE) on a relaxed Li3Pb crystal.

## Properties
As for the total magnetic moment: 0.00 μB per cell.

Cell lengths 3.3451, 3.3451, 9.5179 Å; angles 90.00, 90.00, 120.00 degrees
Closest atoms and distances in Å follow each position.
Sites, in units of the cell vectors:
Li  0.0000  0.0000  0.9928  3 Pb 3.01, 9 Li 3.12-3.35
Li  0.0000  0.0000  0.5072  3 Pb 3.01, 9 Li 3.12-3.35
Li  0.6667  0.3333  0.2500  12 Li 3.12-3.35
Pb  0.6667  0.3333  0.7500  6 Li 3.01, 6 Pb 3.35


one is preferred energetically. Next in line: 16.4 kJ/mol of atoms higher.


one.
VASP calculation (PBE) on a relaxed Li3Pb2 crystal.

## Properties
As for the total magnetic moment: 0.00 μB per cell.

Cell lengths 5.9434, 5.9434, 8.4671 Å; angles 69.45, 69.45, 60.00 degrees
Closest atoms and distances in Å follow each position.
Sites, in units of the cell vectors:
Pb  0.8150  0.8150  0.5549  3 Li 2.92, 1 Pb 3.02
Pb  0.3150  0.3150  0.0549  3 Li 2.92, 1 Pb 3.02
Pb  0.1850  0.1850  0.4451  3 Li 2.92, 1 Pb 3.02
Pb  0.6850  0.6850  0.9451  3 Li 2.92, 1 Pb 3.02
Li  0.2499  0.7500  0.7500  2 Pb 2.92, 4 Li 2.97
Li  0.7500  0.2501  0.7500  2 Pb 2.92, 4 Li 2.97
Li  0.2501  0.2499  0.7500  2 Pb 2.92, 4 Li 2.97
Li  0.2500  0.7499  0.2500  2 Pb 2.92, 4 Li 2.97
Li  0.7499  0.7501  0.2500  2 Pb 2.92, 4 Li 2.97
Li  0.7501  0.2500  0.2500  2 Pb 2.92, 4 Li 2.97


two.
VASP calculation (PBE) on a relaxed Li3Pb2 crystal.

## Properties
As for the total magnetic moment: 0.00 μB per cell.

Cell lengths 3.7044, 3.7044, 8.2197 Å; angles 103.02, 103.02, 90.00 degrees
Closest atoms and distances in Å follow each position.
Sites, in units of the cell vectors:
Li  0.0000  0.0000  0.0000  2 Li 3.07, 8 Pb 3.10
Li  0.1972  0.1972  0.3944  5 Pb 2.98-3.06, 5 Li 3.07-3.09
Li  0.8028  0.8028  0.6056  5 Pb 2.98-3.06, 5 Li 3.07-3.09
Pb  0.3939  0.3939  0.7878  9 Li 2.98-3.10, 1 Pb 3.31
Pb  0.6061  0.6061  0.2122  9 Li 2.98-3.10, 1 Pb 3.31


two is preferred energetically. Next in line: 11.9 kJ/mol of atoms higher.


one.
VASP calculation (PBE) on a relaxed Li3Pb2 crystal.

## Properties
As for the total magnetic moment: 0.00 μB per cell.

Cell lengths 8.9745, 7.9277, 5.8769 Å; angles 79.59, 60.32, 40.09 degrees
Closest atoms and distances in Å follow each position.
Sites, in units of the cell vectors:
Li  0.4638  0.7367  0.4472  5 Pb 2.99-3.17, 5 Li 3.03-3.32
Li  0.3524  0.4472  0.7367  5 Pb 2.99-3.17, 5 Li 3.03-3.32
Li  0.5133  0.7862  0.8976  5 Pb 2.99-3.17, 5 Li 3.03-3.32
Li  0.8028  0.8976  0.7862  5 Pb 2.99-3.17, 5 Li 3.03-3.32
Li  0.9332  0.0668  0.0668  6 Pb 2.92-3.18, 2 Li 3.16
Li  0.1832  0.3168  0.3168  6 Pb 2.92-3.18, 2 Li 3.16
Pb  0.8999  0.2094  0.5399  8 Li 2.92-3.18
Pb  0.3508  0.5399  0.2094  8 Li 2.92-3.18
Pb  0.0406  0.3501  0.8992  8 Li 2.92-3.18
Pb  0.7101  0.8992  0.3501  8 Li 2.92-3.18


two.
VASP calculation (PBE) on a relaxed Li3Pb2 crystal.

## Properties
As for the total magnetic moment: 0.00 μB per cell.

Cell lengths 12.1891, 12.1891, 12.1891 Å; angles 15.84, 15.84, 15.84 degrees
Closest atoms and distances in Å follow each position.
Sites, in units of the cell vectors:
Li  0.0000  0.0000  0.0000  6 Pb 3.10, 6 Li 3.36
Li  0.7993  0.7993  0.7993  3 Pb 3.06, 9 Li 3.13-3.36
Li  0.2007  0.2007  0.2007  3 Pb 3.06, 9 Li 3.13-3.36
Pb  0.4003  0.4003  0.4003  6 Li 3.06-3.10, 6 Pb 3.36
Pb  0.5997  0.5997  0.5997  6 Li 3.06-3.10, 6 Pb 3.36


one is preferred energetically. Next in line: 6.2 kJ/mol of atoms higher.


one.
VASP calculation (PBE) on a relaxed Li3Pb5 crystal.

## Properties
As for the total magnetic moment: 0.00 μB per cell.

Cell lengths 3.5207, 3.5207, 16.0768 Å; angles 90.00, 90.00, 90.00 degrees
Closest atoms and distances in Å follow each position.
Sites, in units of the cell vectors:
Li  0.5000  0.5000  0.1061  8 Pb 3.02-3.14
Li  0.5000  0.5000  0.8939  8 Pb 3.02-3.14
Li  0.0000  0.0000  0.5000  8 Pb 3.11
Pb  0.0000  0.0000  0.2247  4 Li 3.14
Pb  0.5000  0.5000  0.6164  4 Li 3.11
Pb  0.5000  0.5000  0.3836  4 Li 3.11
Pb  0.0000  0.0000  0.7753  4 Li 3.14
Pb  0.0000  0.0000  0.0000  8 Li 3.02


two.
VASP calculation (PBE) on a relaxed Li3Pb5 crystal.

## Properties
As for the total magnetic moment: 0.00 μB per cell.

Cell lengths 8.7587, 8.7589, 8.6563 Å; angles 96.58, 96.58, 139.48 degrees
Closest atoms and distances in Å follow each position.
Sites, in units of the cell vectors:
Li  0.7526  0.7465  0.9996  8 Pb 3.00-3.12, 2 Li 3.03
Li  0.2463  0.2528  0.9996  8 Pb 3.00-3.12, 2 Li 3.03
Li  0.3324  0.1673  0.5003  6 Pb 3.04-3.16
Li  0.6671  0.8330  0.5003  6 Pb 3.04-3.16
Li  0.0834  0.5841  0.8355  8 Pb 3.06-3.32, 1 Li 3.33
Li  0.9160  0.4168  0.1648  8 Pb 3.06-3.31, 1 Li 3.33
Pb  0.2732  0.7736  0.5491  4 Li 3.06-3.31, 4 Pb 3.13-3.42
Pb  0.7258  0.2262  0.4509  4 Li 3.06-3.32, 4 Pb 3.13-3.42
Pb  0.7668  0.0571  0.8639  5 Li 3.01-3.16
Pb  0.2328  0.9434  0.1366  5 Li 3.01-3.16
Pb  0.7219  0.5809  0.2922  4 Li 3.00-3.16
Pb  0.2770  0.4194  0.7077  4 Li 3.00-3.16
Pb  0.5564  0.2667  0.8636  5 Li 3.01-3.16
Pb  0.4426  0.7327  0.1364  5 Li 3.01-3.16
Pb  0.0803  0.2222  0.2920  4 Li 3.00-3.16
Pb  0.9187  0.7773  0.7075  4 Li 3.00-3.15


one is preferred energetically. Next in line: 1.4 kJ/mol of atoms higher.